[1]
! GGA-PBEsol CsBi, optimized geometry; values from VASP
&SYSTEM
  ibrav = 0, nat = 32, ntyp = 2
/
ATOMIC_SPECIES
Cs 132.91 Cs.upf
Bi 208.98 Bi.upf
ATOMIC_POSITIONS crystal
Cs 0.302 0.969 0.606
Bi 0.436 0.231 0.598
Bi 0.064 0.731 0.598
Bi 0.113 0.144 0.899
Bi 0.202 0.124 0.428
Cs 0.134 0.452 0.150
Cs 0.923 0.185 0.657
Bi 0.936 0.269 0.402
Cs 0.698 0.031 0.394
Bi 0.351 0.186 0.068
Bi 0.649 0.814 0.932
Bi 0.851 0.314 0.932
Bi 0.702 0.376 0.572
Bi 0.149 0.686 0.068
Bi 0.798 0.876 0.572
Bi 0.887 0.856 0.101
Cs 0.371 0.361 0.876
Bi 0.613 0.356 0.101
Cs 0.629 0.639 0.124
Cs 0.577 0.685 0.657
Cs 0.423 0.315 0.343
Cs 0.871 0.139 0.124
Bi 0.387 0.644 0.899
Cs 0.077 0.815 0.343
Bi 0.564 0.769 0.402
Cs 0.866 0.548 0.850
Cs 0.129 0.861 0.876
Cs 0.634 0.048 0.850
Cs 0.802 0.531 0.394
Bi 0.298 0.624 0.428
Cs 0.366 0.952 0.150
Cs 0.198 0.469 0.606
CELL_PARAMETERS angstrom
7.664 0.000 0.000
0.000 14.340 -0.013
0.000 -6.021 14.013
! Energy of formation ... -0.8 eV per formula unit
! Uncorrected energy ... -0.1107 hartree per atom
! Symmetry ... P2_1/c, No. 14


[2]
! GGA-PBEsol Cs3CuBi, optimized geometry; values from VASP
&SYSTEM
  ibrav = 0, nat = 5, ntyp = 3
/
ATOMIC_SPECIES
Cs 132.91 Cs.upf
Cu 63.55 Cu.upf
Bi 208.98 Bi.upf
ATOMIC_POSITIONS crystal
Cs 0.500 0.000 0.000
Cu 0.000 0.000 0.000
Cs 0.000 0.000 0.500
Cs 0.000 0.500 0.000
Bi 0.500 0.500 0.500
CELL_PARAMETERS angstrom
-2.530 4.918 3.139
-4.118 -3.929 2.837
4.133 -0.904 4.748
! Energy of formation ... 1.1 eV per formula unit
! Uncorrected energy ... -0.0760 hartree per atom
! Symmetry ... Pm-3m, No. 221


[3]
! GGA-PBEsol CsCuBi2P, optimized geometry; values from VASP
&SYSTEM
  ibrav = 0, nat = 5, ntyp = 4
/
ATOMIC_SPECIES
P 30.97 P.upf
Bi 208.98 Bi.upf
Cu 63.55 Cu.upf
Cs 132.91 Cs.upf
ATOMIC_POSITIONS crystal
P 0.000 0.000 0.000
Bi 0.500 0.000 0.000
Bi 0.000 0.500 0.000
Cu 0.500 0.500 0.500
Cs 0.000 0.000 0.500
CELL_PARAMETERS angstrom
-2.782 -4.479 -0.610
1.609 -0.312 -5.048
5.185 -3.474 1.867
! Energy of formation ... 3.7 eV per formula unit
! Uncorrected energy ... -0.1175 hartree per atom
! Symmetry ... P4/mmm, No. 123


[4]
! GGA-PBEsol CsCuBi2Pd, optimized geometry; values from VASP
&SYSTEM
  ibrav = 0, nat = 5, ntyp = 4
/
ATOMIC_SPECIES
Pd 106.42 Pd.upf
Bi 208.98 Bi.upf
Cu 63.55 Cu.upf
Cs 132.91 Cs.upf
ATOMIC_POSITIONS crystal
Pd 0.000 0.000 0.000
Bi 0.500 0.000 0.000
Bi 0.000 0.500 0.000
Cu 0.500 0.500 0.500
Cs 0.000 0.000 0.500
CELL_PARAMETERS angstrom
-4.791 1.049 -1.938
-1.109 -5.155 -0.047
-2.186 0.419 5.633
! Energy of formation ... 2.8 eV per formula unit
! Uncorrected energy ... -0.1251 hartree per atom
! Symmetry ... P4/mmm, No. 123


[5]
! GGA-PBEsol Cs3BiF6, optimized geometry; values from VASP
&SYSTEM
  ibrav = 0, nat = 10, ntyp = 3
/
ATOMIC_SPECIES
F 19.00 F.upf
Bi 208.98 Bi.upf
Cs 132.91 Cs.upf
ATOMIC_POSITIONS crystal
F 0.775 0.225 0.775
Bi 0.000 0.000 0.000
F 0.225 0.225 0.775
F 0.775 0.775 0.225
F 0.775 0.225 0.225
F 0.225 0.775 0.775
Cs 0.500 0.500 0.500
Cs 0.750 0.750 0.750
Cs 0.250 0.250 0.250
F 0.225 0.775 0.225
CELL_PARAMETERS angstrom
7.089 0.000 0.000
3.544 6.139 0.000
3.544 2.046 5.788
! Uncorrected energy ... -0.1654 hartree per atom
! Energy relative to the elements, uncorrected ... -2.632 eV per atom
! Symmetry ... Fm-3m, No. 225


[6]
! GGA-PBEsol Cs3BiF, optimized geometry; values from VASP
&SYSTEM
  ibrav = 0, nat = 5, ntyp = 3
/
ATOMIC_SPECIES
Bi 208.98 Bi.upf
F 19.00 F.upf
Cs 132.91 Cs.upf
ATOMIC_POSITIONS crystal
Bi 0.500 0.500 0.500
F 0.000 0.000 0.000
Cs 0.000 0.500 0.000
Cs 0.000 0.000 0.500
Cs 0.500 0.000 0.000
CELL_PARAMETERS angstrom
5.851 0.000 0.000
0.000 5.851 0.000
0.000 0.000 5.851
! Uncorrected energy ... -0.1122 hartree per atom
! Energy relative to the elements, uncorrected ... -1.244 eV per atom
! Symmetry ... Pm-3m, No. 221


[7]
! GGA-PBEsol CsBi3F, optimized geometry; values from VASP
&SYSTEM
  ibrav = 0, nat = 5, ntyp = 3
/
ATOMIC_SPECIES
Bi 208.98 Bi.upf
F 19.00 F.upf
Cs 132.91 Cs.upf
ATOMIC_POSITIONS crystal
Bi 0.000 0.000 0.500
F 0.500 0.500 0.500
Bi 0.000 0.500 0.000
Cs 0.000 0.000 0.000
Bi 0.500 0.000 0.000
CELL_PARAMETERS angstrom
6.238 0.000 0.000
0.000 6.238 0.000
0.000 0.000 6.238
! Uncorrected energy ... -0.0696 hartree per atom
! Energy relative to the elements, uncorrected ... 1.251 eV per atom
! Symmetry ... Pm-3m, No. 221


[8]
! GGA-PBEsol Cs2BiHF, optimized geometry; values from VASP
&SYSTEM
  ibrav = 0, nat = 5, ntyp = 4
/
ATOMIC_SPECIES
F 19.00 F.upf
Cs 132.91 Cs.upf
H 1.01 H.upf
Bi 208.98 Bi.upf
ATOMIC_POSITIONS crystal
F 0.000 0.000 0.000
Cs 0.000 0.000 0.500
Cs 0.000 0.500 0.000
H 0.500 0.500 0.500
Bi 0.500 0.000 0.000
CELL_PARAMETERS angstrom
4.706 0.000 0.000
0.000 6.088 0.000
0.000 0.000 6.088
! Uncorrected energy ... -0.1067 hartree per atom
! Symmetry ... P4/mmm, No. 123


[9]
! GGA-PBEsol Cs2LiBiF6, optimized geometry; values from VASP
&SYSTEM
  ibrav = 0, nat = 10, ntyp = 4
/
ATOMIC_SPECIES
F 19.00 F.upf
Cs 132.91 Cs.upf
Bi 208.98 Bi.upf
Li 6.94 Li.upf
ATOMIC_POSITIONS crystal
F 0.743 0.257 0.257
F 0.743 0.743 0.257
Cs 0.750 0.750 0.750
Bi 0.000 0.000 0.000
Li 0.500 0.500 0.500
F 0.743 0.257 0.743
F 0.257 0.257 0.743
F 0.257 0.743 0.743
Cs 0.250 0.250 0.250
F 0.257 0.743 0.257
CELL_PARAMETERS angstrom
-3.322 5.213 0.980
-1.813 1.512 5.796
2.617 4.874 2.926
! Uncorrected energy ... -0.1715 hartree per atom
! Energy relative to the elements, uncorrected ... -2.697 eV per atom
! Symmetry ... Fm-3m, No. 225


[10]
! GGA-PBEsol CsBiOF2, optimized geometry; values from VASP
&SYSTEM
  ibrav = 0, nat = 5, ntyp = 4
/
ATOMIC_SPECIES
Bi 208.98 Bi.upf
O 16.00 O.upf
Cs 132.91 Cs.upf
F 19.00 F.upf
ATOMIC_POSITIONS crystal
Bi 0.500 0.500 0.500
O 0.500 0.000 0.000
Cs 0.000 0.000 0.000
F 0.000 0.500 0.000
F 0.000 0.000 0.500
CELL_PARAMETERS angstrom
-4.247 0.857 0.216
0.156 -0.507 5.079
1.028 4.980 0.466
! Uncorrected energy ... -0.1215 hartree per atom
! Energy relative to the elements, uncorrected ... -0.440 eV per atom
! Energy above the lowest structure with this stoichiometry ... 8.11 eV/f.u.
! Symmetry ... P4/mmm, No. 123


[11]
! GGA-PBEsol CsBiOF2, optimized geometry; values from VASP
&SYSTEM
  ibrav = 0, nat = 5, ntyp = 4
/
ATOMIC_SPECIES
F 19.00 F.upf
O 16.00 O.upf
Bi 208.98 Bi.upf
Cs 132.91 Cs.upf
ATOMIC_POSITIONS crystal
F 0.000 0.000 0.500
O 0.500 0.000 0.000
F 0.000 0.500 0.000
Bi 0.000 0.000 0.000
Cs 0.500 0.500 0.500
CELL_PARAMETERS angstrom
-0.720 1.584 4.118
-0.909 -4.374 1.524
4.569 -0.592 1.026
! Uncorrected energy ... -0.1811 hartree per atom
! Energy relative to the elements, uncorrected ... -2.062 eV per atom
! Energy above the lowest structure with this stoichiometry ... 0.00 eV/f.u.
! Symmetry ... P4/mmm, No. 123


[12]
! GGA-PBEsol Cs2RbBiF6, optimized geometry; values from VASP
&SYSTEM
  ibrav = 0, nat = 10, ntyp = 4
/
ATOMIC_SPECIES
Bi 208.98 Bi.upf
Cs 132.91 Cs.upf
F 19.00 F.upf
Rb 85.47 Rb.upf
ATOMIC_POSITIONS crystal
Bi 0.000 0.000 0.000
Cs 0.250 0.250 0.250
Cs 0.750 0.750 0.750
F 0.231 0.769 0.231
F 0.231 0.769 0.769
F 0.769 0.231 0.769
Rb 0.500 0.500 0.500
F 0.231 0.231 0.769
F 0.769 0.769 0.231
F 0.769 0.231 0.231
CELL_PARAMETERS angstrom
-2.017 4.087 5.184
0.785 -2.075 6.537
4.708 3.027 4.040
! Uncorrected energy ... -0.1666 hartree per atom
! Energy relative to the elements, uncorrected ... -2.659 eV per atom
! Symmetry ... Fm-3m, No. 225